No. 1
Compound: Li2POs
Source: Alexandria
Functional: GGA-PBE
Structure: optimized geometry

a = 2.741 Å, b = 4.078 Å, c = 5.230 Å
α = 90.00°, β = 104.93°, γ = 90.00°
Positions (direct):
Li  0.000  0.000  0.000
Li  0.354  0.500  0.720
P  0.726  0.000  0.456
Os  0.627  0.500  0.255

Values from the calculation:
formation energy from the elements = -0.12 eV per atom

=====

No. 2
Compound: K2CdSb3Au4
Source: Alexandria
Functional: GGA-PBE
Structure: optimized geometry

a = 4.865 Å, b = 4.865 Å, c = 11.289 Å
α = 90.00°, β = 90.00°, γ = 90.00°
Positions (direct):
K  0.000  0.500  0.242
K  0.500  0.000  0.758
Cd  0.000  0.000  0.500
Sb  0.000  0.500  0.873
Sb  0.500  0.000  0.127
Sb  0.500  0.500  0.500
Au  0.000  0.000  0.000
Au  0.000  0.500  0.631
Au  0.500  0.000  0.369
Au  0.500  0.500  0.000

Values from the calculation:
energy relative to the elements, uncorrected = -304 meV per atom

=====

No. 3
Compound: Zn2Cd2Ir
Source: Alexandria
Functional: GGA-PBE
Structure: optimized geometry

a = 6.581 Å, b = 6.581 Å, c = 4.109 Å
α = 90.00°, β = 90.00°, γ = 90.00°
Positions (direct):
Zn  0.138  0.362  0.000
Zn  0.362  0.862  0.000
Zn  0.638  0.138  0.000
Zn  0.862  0.638  0.000
Cd  0.172  0.672  0.500
Cd  0.328  0.172  0.500
Cd  0.672  0.828  0.500
Cd  0.828  0.328  0.500
Ir  0.000  0.000  0.000
Ir  0.500  0.500  0.000

Values from the calculation:
formation energy from the elements = 0.16 eV per atom

=====

no.,calculated volume (Å³/cell)
1,56.49
2,267.14
3,177.96